The following is a DFT calculation (PBE) of an optimized crystal structure of NaAlP2Ir4.

Unit cell a=4.0717 b=4.0717 c=7.6775 alpha=90.00 beta=90.00 gamma=90.00
Element x y z (fractional)
1 Na 0.0000 0.0000 0.5000
2 Al 0.0000 0.0000 0.0000
3 P 0.5000 0.5000 0.3418
4 P 0.5000 0.5000 0.6582
5 Ir 0.0000 0.5000 0.2015
6 Ir 0.5000 0.0000 0.7985
7 Ir 0.5000 0.0000 0.2015
8 Ir 0.0000 0.5000 0.7985

## Properties
N(E_F): 0.46 states/eV per atom
Formation energy: -0.530 eV per atom
Space-group type: P4/mmm, No. 123

***

The following is a DFT calculation (PBE) of an optimized crystal structure of NaAlP2Ir.

Unit cell a=4.5561 b=5.3390 c=4.5561 alpha=90.00 beta=90.00 gamma=90.00
Element x y z (fractional)
1 P 0.0000 0.0000 0.5000
2 P 0.5000 0.0000 0.0000
3 Ir 0.0000 0.0000 0.0000
4 Al 0.5000 0.5000 0.5000
5 Na 0.0000 0.5000 0.0000

## Properties
N(E_F): 0.55 states/eV per atom
Formation energy: 0.403 eV per atom
Space-group type: P4/mmm, No. 123

***

The following is a DFT calculation (PBE) of an optimized crystal structure of Na4AlIr3S8.

Unit cell a=7.2844 b=7.6154 c=7.2849 alpha=118.61 beta=120.00 gamma=90.00
Element x y z (fractional)
1 Na 0.5000 0.0000 0.0000
2 Na 0.5000 0.0000 0.5000
3 Na 0.0000 0.0000 0.0000
4 Na 0.0000 0.0000 0.5000
5 Al 0.0000 0.5000 0.0000
6 Ir 0.5000 0.5000 0.0000
7 Ir 0.5000 0.5000 0.5000
8 Ir 0.0000 0.5000 0.5000
9 S 0.2329 0.6919 0.9592
10 S 0.2329 0.6919 0.4658
11 S 0.2723 0.3170 0.5445
12 S 0.7263 0.6919 0.9592
13 S 0.2737 0.3081 0.0408
14 S 0.7277 0.6830 0.4555
15 S 0.7671 0.3081 0.5342
16 S 0.7671 0.3081 0.0408

## Properties
Space-group type: R-3m, No. 166
Uncorrected energy: -5.09 eV/atom

***

The following is a DFT calculation (PBE) of an optimized crystal structure of Na2ScAlIr.

Unit cell a=5.0267 b=5.0263 c=5.0267 alpha=90.00 beta=90.00 gamma=90.00
Element x y z (fractional)
1 Sc 0.0000 0.0000 0.0000
2 Na 0.0000 0.0000 0.5000
3 Na 0.5000 0.0000 0.0000
4 Ir 0.5000 0.5000 0.5000
5 Al 0.0000 0.5000 0.0000

## Properties
N(E_F): 1.35 states/eV per atom
Formation energy: 1.704 eV per atom
Space-group type: P4/mmm, No. 123

***

Across the entries above, M_tot takes the values 0.000 0.000 0.000 0.000 μB/atom, respectively.